(1)
A plane-wave DFT calculation with PBE-GGA was carried out for crystalline Cs6K3Cd2 at its relaxed geometry.

Cell lengths 6.6765, 6.6765, 21.0703 Å; angles 99.12, 99.12, 90.00 degrees
Closest atoms and distances in Å follow each position.
Sites, in units of the cell vectors:
1 Cs 0.2943 0.2943 0.5886  5 K 4.82-4.87
2 Cs 0.0885 0.5885 0.1771  2 Cd 3.99
3 Cs 0.5885 0.0885 0.1771  2 Cd 3.99
4 Cs 0.9115 0.4115 0.8229  2 Cd 3.99
5 Cs 0.7057 0.7057 0.4114  5 K 4.82-4.87
6 Cs 0.4115 0.9115 0.8229  2 Cd 3.99
7 Cd 0.5353 0.5353 0.0706  1 Cd 2.90
8 Cd 0.4647 0.4647 0.9294  1 Cd 2.90
9 K 0.1769 0.1769 0.3538  9 Cs 4.82-4.93
10 K 0.0000 0.0000 0.0000  8 Cs 4.94, 8 Cd 4.94
11 K 0.8231 0.8231 0.6462  9 Cs 4.82-4.93

## Properties
- SG = No. 139
- final energy (eV/cell) = -9.774
- formation energy from the elements (eV/atom) = 0.0427
- spin magnetization (μB/f.u.) = 0.0

=====

(2)
A plane-wave DFT calculation with PBE-GGA was carried out for crystalline YCd2Au at its relaxed geometry.

Cell lengths 4.3034, 3.4990, 6.5230 Å; angles 74.18, 90.00, 90.00 degrees
Closest atoms and distances in Å follow each position.
Sites, in units of the cell vectors:
1 Au 0.5000 0.9513 0.7177  3 Cd 2.86-3.09, 4 Y 2.99
2 Cd 0.5000 0.2008 0.2252  4 Cd 3.06-3.07, 1 Au 3.09, 4 Y 3.40-3.41
3 Cd 0.0000 0.8056 0.0176  2 Au 2.86, 4 Cd 3.06-3.07
4 Y 0.0000 0.5422 0.5395  4 Au 2.99, 1 Cd 3.28

## Properties
- SG = No. 6
- final energy (eV/cell) = -13.199
- formation energy from the elements (eV/atom) = -0.4069
- spin magnetization (μB/f.u.) = 0.0

=====

(3)
A plane-wave DFT calculation with PBE-GGA was carried out for crystalline Ba3Hg at its relaxed geometry.

Cell lengths 4.7056, 6.2042, 6.3858 Å; angles 90.00, 90.00, 90.00 degrees
Closest atoms and distances in Å follow each position.
Sites, in units of the cell vectors:
1 Ba 0.5000 0.0000 0.4490  6 Ba 3.82-4.14, 4 Hg 3.93
2 Ba 0.0000 0.0000 0.9782  8 Ba 3.82-4.12, 2 Hg 3.95
3 Ba 0.5000 0.5000 0.8785  4 Hg 3.88-4.06, 6 Ba 3.95-4.14
4 Hg 0.0000 0.5000 0.3609  10 Ba 3.88-4.06

## Properties
- SG = No. 25
- final energy (eV/cell) = -6.496
- formation energy from the elements (eV/atom) = -0.1064
- spin magnetization (μB/f.u.) = 0.0
- distance to the lowest polymorph of the same formula (kcal/mol of atoms) = 3.58

=====

(4)
A plane-wave DFT calculation with PBE-GGA was carried out for crystalline GaFe3Ru at its relaxed geometry.

Cell lengths 4.5052, 4.5052, 4.5052 Å; angles 90.00, 90.00, 90.00 degrees
Closest atoms and distances in Å follow each position.
Sites, in units of the cell vectors:
1 Fe 0.0000 0.0000 0.5000  2 Ru 2.25
2 Fe 0.0000 0.5000 0.0000  2 Ru 2.25
3 Fe 0.5000 0.0000 0.0000  2 Ru 2.25
4 Ru 0.0000 0.0000 0.0000  6 Fe 2.25
5 Ga 0.5000 0.5000 0.5000  12 Fe 3.19

## Properties
- SG = No. 221
- final energy (eV/cell) = -31.185
- formation energy from the elements (eV/atom) = 1.3011
- spin magnetization (μB/f.u.) = 9.0
- distance to the lowest polymorph of the same formula (kcal/mol of atoms) = 0.00

=====

(5)
A plane-wave DFT calculation with PBE-GGA was carried out for crystalline Sr2TcSe at its relaxed geometry.

Cell lengths 6.1988, 6.1988, 4.1669 Å; angles 89.99, 89.99, 44.58 degrees
Closest atoms and distances in Å follow each position.
Sites, in units of the cell vectors:
1 Sr 0.9837 0.9837 0.8750  4 Tc 3.28, 3 Se 3.29-3.43
2 Sr 0.2667 0.2667 0.3750  4 Se 3.28, 3 Tc 3.30-3.43
3 Tc 0.5654 0.5654 0.3751  2 Se 2.49
4 Se 0.6843 0.6843 0.8750  2 Tc 2.49

## Properties
- SG = No. 38
- final energy (eV/cell) = -18.228
- spin magnetization (μB/f.u.) = 0.8

=====

(6)
A plane-wave DFT calculation with PBE-GGA was carried out for crystalline LaAs2W at its relaxed geometry.

Cell lengths 4.8319, 3.7121, 5.5087 Å; angles 70.30, 90.00, 90.00 degrees
Closest atoms and distances in Å follow each position.
Sites, in units of the cell vectors:
1 La 0.0000 0.5935 0.4380  7 As 2.90-3.17
2 As 0.5000 0.1796 0.2661  2 W 2.59
3 As 0.0000 0.8731 0.8789  2 W 2.42
4 W 0.5000 0.8539 0.9169  4 As 2.42-2.59

## Properties
- SG = No. 38
- final energy (eV/cell) = -28.541
- formation energy from the elements (eV/atom) = -0.3403
- spin magnetization (μB/f.u.) = 0.0
- distance to the lowest polymorph of the same formula (kcal/mol of atoms) = 3.24

=====

(7)
A plane-wave DFT calculation with PBE-GGA was carried out for crystalline LiC2Se at its relaxed geometry.

Cell lengths 3.9310, 3.9310, 3.9310 Å; angles 60.00, 60.00, 60.00 degrees
Closest atoms and distances in Å follow each position.
Sites, in units of the cell vectors:
1 Li 0.0000 0.0000 0.0000  8 C 2.41
2 C 0.2500 0.2500 0.2500  4 Li 2.41, 4 Se 2.41
3 C 0.7500 0.7500 0.7500  4 Se 2.41, 4 Li 2.41
4 Se 0.5000 0.5000 0.5000  8 C 2.41

## Properties
- SG = No. 225
- final energy (eV/cell) = -15.607
- spin magnetization (μB/f.u.) = 0.0
- distance to the lowest polymorph of the same formula (kcal/mol of atoms) = 13.65

=====

(8)
A plane-wave DFT calculation with PBE-GGA was carried out for crystalline Tb5Pr3Er2 at its relaxed geometry.

Cell lengths 6.4502, 11.0093, 11.0093 Å; angles 102.39, 72.97, 72.97 degrees
Closest atoms and distances in Å follow each position.
Sites, in units of the cell vectors:
1 Tb 0.0027 0.7473 0.7473  5 Tb 3.02-3.29, 1 Pr 3.08
2 Tb 0.7644 0.0690 0.4023  2 Tb 3.29, 1 Pr 3.35, 3 Er 3.49-3.65
3 Tb 0.2644 0.4023 0.0690  2 Tb 3.29, 1 Pr 3.35, 3 Er 3.49-3.65
4 Tb 0.9973 0.2527 0.2527  5 Tb 3.02-3.29, 1 Pr 3.08
5 Tb 0.4973 0.2527 0.2527  5 Tb 3.02-3.29, 1 Pr 3.08
6 Tb 0.7500 0.5000 0.5000  4 Tb 3.02-3.23
7 Tb 0.7356 0.5977 0.9310  2 Tb 3.29, 1 Pr 3.35, 3 Er 3.49-3.65
8 Tb 0.2356 0.9310 0.5977  2 Tb 3.29, 1 Pr 3.35, 3 Er 3.49-3.65
9 Tb 0.5027 0.7473 0.7473  5 Tb 3.02-3.29, 1 Pr 3.08
10 Tb 0.2500 0.5000 0.5000  4 Tb 3.02-3.23
11 Pr 0.7500 0.0000 0.0000  2 Tb 3.08, 2 Pr 3.23
12 Pr 0.2500 0.0000 0.0000  2 Tb 3.08, 2 Pr 3.23
13 Pr 0.5885 0.5800 0.2430  3 Tb 3.35-3.48, 1 Er 3.59
14 Pr 0.0885 0.2430 0.5800  3 Tb 3.35-3.48, 1 Er 3.59
15 Pr 0.9115 0.7570 0.4200  3 Tb 3.35-3.48, 1 Er 3.59
16 Pr 0.4115 0.4200 0.7570  3 Tb 3.35-3.48, 1 Er 3.59
17 Er 0.0959 0.7354 0.0727  5 Tb 3.49-3.82, 4 Pr 3.51-3.85
18 Er 0.5959 0.0727 0.7354  5 Tb 3.49-3.82, 4 Pr 3.51-3.85
19 Er 0.9041 0.2646 0.9273  5 Tb 3.49-3.82, 4 Pr 3.51-3.85
20 Er 0.4041 0.9273 0.2646  5 Tb 3.49-3.82, 4 Pr 3.51-3.85

## Properties
- SG = No. 72
- final energy (eV/cell) = -87.404
- formation energy from the elements (eV/atom) = 0.2914
- spin magnetization (μB/f.u.) = 0.0
- distance to the lowest polymorph of the same formula (kcal/mol of atoms) = 2.35